First-principles (GGA+U) data for a relaxed VFe3Cu2P6O24 crystal, as listed in Alexandria.

Unit cell a=8.526 b=8.526 c=8.526 alpha=60.62 beta=60.62 gamma=60.62
Fractional positions:
Fe 0.857 0.857 0.857
Fe 0.357 0.357 0.357
Fe 0.643 0.643 0.643
O 0.737 0.940 0.091
O 0.091 0.737 0.940
O 0.916 0.255 0.070
O 0.255 0.070 0.916
O 0.498 0.109 0.323
O 0.376 0.012 0.182
O 0.070 0.916 0.255
O 0.323 0.498 0.109
O 0.544 0.760 0.413
O 0.441 0.240 0.590
O 0.760 0.413 0.544
O 0.609 0.002 0.823
O 0.240 0.590 0.441
O 0.590 0.441 0.240
O 0.413 0.544 0.760
O 0.940 0.091 0.737
O 0.109 0.323 0.498
O 0.823 0.609 0.002
O 0.486 0.884 0.698
O 0.012 0.182 0.376
O 0.002 0.823 0.609
O 0.884 0.698 0.486
O 0.698 0.486 0.884
O 0.182 0.376 0.012
P 0.955 0.253 0.543
P 0.044 0.752 0.456
P 0.253 0.543 0.955
P 0.752 0.456 0.044
P 0.456 0.044 0.752
P 0.543 0.955 0.253
Cu 0.498 0.498 0.498
Cu 0.999 0.999 0.999
V 0.144 0.144 0.144

## Properties
For the density of states at the Fermi level, the calculation gives 12.42 states/eV per cell. For the uncorrected energy, the calculation gives -6.925 eV per atom. The density comes out at 3.420 g/cm3. Its space group is R3 (146).